[1]
LiCa2Mg | PBE-GGA | relaxed

Properties
* ΔH_f (0 K): -22 meV per atom

Lattice parameters (Å, degrees): 6.483 6.483 5.836 110.30 110.30 33.03
Element x y z (fractional)
Li 0.000 0.000 0.000
Ca 0.244 0.244 0.804
Ca 0.454 0.454 0.465
Mg 0.696 0.696 0.267



[2]
YSc2F | PBE-GGA | relaxed

Properties
* distance to the lowest polymorph of the same formula: 0.049 eV/atom
* raw formation energy: -1.056 eV/atom

Lattice parameters (Å, degrees): 6.387 6.387 6.387 116.28 116.28 96.57
Element x y z (fractional)
Y 0.000 0.000 0.000
Y 0.750 0.250 0.500
Sc 0.281 0.625 0.156
Sc 0.375 0.531 0.656
Sc 0.469 0.125 0.844
Sc 0.875 0.719 0.344
F 0.250 0.750 0.500
F 0.500 0.500 0.000



[3]
TlZnGa2 | PBE-GGA | relaxed

Properties
* distance to the lowest polymorph of the same formula: 0.092 eV/atom
* ΔH_f (0 K): 149 meV per atom

Lattice parameters (Å, degrees): 4.377 4.377 4.461 90.00 90.00 90.00
Element x y z (fractional)
Tl 0.000 0.000 0.000
Zn 0.500 0.500 0.000
Ga 0.000 0.500 0.500
Ga 0.500 0.000 0.500



[4]
La6TlIr3 | PBE-GGA | relaxed

Properties
* ΔH_f (0 K): -626 meV per atom

Lattice parameters (Å, degrees): 12.232 4.247 12.581 90.00 107.62 90.00
Element x y z (fractional)
La 0.026 0.250 0.390
La 0.109 0.250 0.948
La 0.204 0.750 0.258
La 0.287 0.750 0.764
La 0.349 0.250 0.532
La 0.422 0.750 0.084
La 0.578 0.250 0.916
La 0.651 0.750 0.468
La 0.713 0.250 0.236
La 0.796 0.250 0.742
La 0.891 0.750 0.052
La 0.974 0.750 0.610
Tl 0.448 0.250 0.304
Tl 0.552 0.750 0.696
Ir 0.043 0.250 0.163
Ir 0.180 0.750 0.494
Ir 0.342 0.250 0.919
Ir 0.658 0.750 0.081
Ir 0.820 0.250 0.506
Ir 0.957 0.750 0.837



[5]
AsPbBr3 | PBE-GGA | relaxed

Properties
* distance to the lowest polymorph of the same formula: 0.000 eV/atom
* raw formation energy: -0.074 eV/atom

Lattice parameters (Å, degrees): 5.389 5.389 5.389 90.00 90.00 90.00
Element x y z (fractional)
As 0.000 0.000 0.000
Pb 0.500 0.500 0.500
Br 0.000 0.000 0.500
Br 0.000 0.500 0.000
Br 0.500 0.000 0.000



[6]
ScTaP2O | PBE-GGA | relaxed

Properties
* distance to the lowest polymorph of the same formula: 0.960 eV/atom
* raw formation energy: -0.046 eV/atom

Lattice parameters (Å, degrees): 4.903 4.903 3.739 90.00 90.00 90.00
Element x y z (fractional)
Sc 0.000 0.000 0.000
Ta 0.500 0.500 0.500
P 0.000 0.500 0.000
P 0.500 0.000 0.000
O 0.000 0.000 0.500



[7]
Mg2ReC2 | PBE-GGA | relaxed

Properties
* ΔH_f (0 K): 785 meV per atom

Lattice parameters (Å, degrees): 5.280 5.280 2.605 90.00 90.00 90.00
Element x y z (fractional)
Mg 0.000 0.500 0.000
Mg 0.500 0.000 0.000
Re 0.000 0.000 0.500
C 0.500 0.500 0.000
C 0.500 0.500 0.500



[8]
LiCaPu2O8 | PBE-GGA | relaxed

Properties
* raw formation energy: -2.512 eV/atom

Lattice parameters (Å, degrees): 4.946 4.946 6.894 90.00 90.00 93.36
Element x y z (fractional)
Li 0.000 0.000 0.000
Ca 0.000 0.000 0.500
Pu 0.500 0.500 0.245
Pu 0.500 0.500 0.755
O 0.222 0.222 0.240
O 0.222 0.222 0.760
O 0.322 0.678 0.000
O 0.323 0.677 0.500
O 0.677 0.323 0.500
O 0.678 0.322 0.000
O 0.778 0.778 0.240
O 0.778 0.778 0.760



[9]
SrBe3F | PBE-GGA | relaxed

Properties
* distance to the lowest polymorph of the same formula: 1.183 eV/atom
* raw formation energy: 1.670 eV/atom

Lattice parameters (Å, degrees): 6.062 6.062 6.062 90.00 90.00 90.00
Element x y z (fractional)
Sr 0.000 0.000 0.000
Be 0.000 0.000 0.500
Be 0.000 0.500 0.000
Be 0.500 0.000 0.000
F 0.500 0.500 0.500



[10]
Tl2CdIO8 | PBE-GGA | relaxed

Properties
* raw formation energy: -0.427 eV/atom

Lattice parameters (Å, degrees): 4.873 6.840 5.075 90.00 92.75 90.00
Element x y z (fractional)
Tl 0.000 0.247 0.000
Tl 0.000 0.753 0.000
Cd 0.500 0.500 0.500
I 0.500 0.000 0.500
O 0.260 0.000 0.179
O 0.265 0.500 0.114
O 0.287 0.205 0.640
O 0.287 0.795 0.640
O 0.713 0.205 0.360
O 0.713 0.795 0.360
O 0.735 0.500 0.886
O 0.740 0.000 0.821



[11]
CaSm4Ru | PBE-GGA | relaxed

Properties
* ΔH_f (0 K): -55 meV per atom

Lattice parameters (Å, degrees): 9.583 9.583 9.583 141.73 133.52 61.73
Element x y z (fractional)
Ca 0.201 0.201 0.000
Ca 0.799 0.799 0.000
Sm 0.147 0.393 0.754
Sm 0.213 0.000 0.213
Sm 0.331 0.831 0.500
Sm 0.361 0.607 0.754
Sm 0.639 0.393 0.246
Sm 0.669 0.169 0.500
Sm 0.787 0.000 0.787
Sm 0.853 0.607 0.246
Ru 0.500 0.258 0.758
Ru 0.500 0.742 0.242



[12]
SbS3 | PBE-GGA | relaxed

Properties
* raw formation energy: -0.049 eV/atom

Lattice parameters (Å, degrees): 5.787 5.794 8.475 78.60 83.25 86.74
Element x y z (fractional)
Sb 0.114 0.387 0.324
Sb 0.886 0.613 0.676
S 0.128 0.766 0.410
S 0.191 0.719 0.991
S 0.218 0.480 0.855
S 0.782 0.520 0.145
S 0.809 0.281 0.009
S 0.872 0.234 0.590



Which formula does entry 7 have?
Mg2ReC2